A plane-wave DFT calculation with PBE was carried out for a geometry-optimized YPuSi3 structure.

```
data_YPuSi3
_chemical_formula_sum 'Y4 Pu4 Si12'
_cell_length_a 4.122
_cell_length_b 24.568
_cell_length_c 3.942
_cell_angle_alpha 90.00
_cell_angle_beta 90.00
_cell_angle_gamma 90.00
_symmetry_space_group_name_H-M 'C m c m'
_symmetry_Int_Tables_number 63
_symmetry_space_group_name_Hall '-C 2c 2'
loop_
_atom_site_label
_atom_site_type_symbol
_atom_site_fract_x
_atom_site_fract_y
_atom_site_fract_z
Y1 Y 0.000 0.203 0.250
Pu1 Pu 0.000 0.071 0.750
Si1 Si 0.000 0.325 0.250
Si2 Si 0.000 0.382 0.750
Si3 Si 0.000 0.476 0.750
```

Fermi-level density of states in states/eV/f.u.: 9.93
Final energy in eV/atom: -8.016
Formation energy (no corrections) in kJ/mol of atoms: -58.2